# Rb3Na2

An optimized crystal structure of Rb3Na2 (PBE-GGA, Alexandria via LeMat-Bulk).

Properties
Final energy = -1.039 eV per atom
Crystal system = trigonal
ρ = 1399 kg/m3
Energy relative to the elements = 0.348 eV per formula unit
V = 71.79 A^3/atom
M_tot = 0.00 μB/f.u.
DOS at the Fermi energy = 7.038 states/eV/cell
Polymorph energy (0 for the lowest one) = 0.084 eV per formula unit

a = 9.255 Å, b = 9.255 Å, c = 11.054 Å
α = 65.25°, β = 65.25°, γ = 60.00°
Atoms (fractional coordinates):
Na1 0.808 0.808 0.575
Na2 0.308 0.308 0.075
Na3 0.192 0.192 0.425
Na4 0.692 0.692 0.925
Rb1 0.189 0.750 0.750
Rb2 0.750 0.311 0.750
Rb3 0.311 0.189 0.750
Rb4 0.250 0.689 0.250
Rb5 0.689 0.811 0.250
Rb6 0.811 0.250 0.250